Computed, not measured: a relaxed RbEr4ScS8 crystal at the GGA-PBE level of DFT.

```
RbEr4ScS8
1.0
-3.852 -4.272 5.924
4.396 -3.905 5.798
0.003 2.552 7.596
Rb S Er Sc
1 8 4 1
Cartesian
0.214 -1.064 10.881 Rb
0.414 -4.342 14.402 S
-1.915 -3.446 7.779 S
2.726 -2.202 11.695 S
0.411 -5.513 10.848 S
-2.162 -2.419 11.770 S
0.121 0.112 8.259 S
2.451 -3.252 7.712 S
0.129 -1.183 4.986 S
-1.838 -0.817 6.724 Er
0.005 1.227 3.890 Er
0.339 -4.761 8.297 Er
2.108 -0.641 6.663 Er
0.006 2.469 7.538 Sc
```

Output
* ΔE_f (raw): -1.857 eV per atom
* total DFT energy (no corrections): -6.0411 eV/atom
* crystal system: trigonal